Entry 1:
Material: KBaGe4
Method: DFT, PBE
State: optimized geometry

Properties
**Relative energy among the computed polymorphs**: 0.79 kcal/mol of atoms
**Total magnetic moment**: 0.00 μB per formula unit
**VASP energy**: -3.757 eV per atom
**Density of states at the Fermi level**: 1.46 states/eV per atom

a = 8.6315 Å, b = 8.6315 Å, c = 8.6315 Å
α = 90.00°, β = 90.00°, γ = 90.00°
With the nearest neighbours (Å) after each atom.
Space group F-43m (No. 216)
Asymmetric unit:
K  0.0000  0.0000  0.0000 (multiplicity 4)  12 Ge 3.62, 4 Ba 3.74
Ba  0.2500  0.2500  0.2500 (multiplicity 4)  12 Ge 3.55, 4 K 3.74
Ge  0.1117  0.1117  0.6117 (multiplicity 16)  3 Ge 2.73

Entry 2:
Material: KBaGe4
Method: DFT, PBE
State: optimized geometry

Properties
**Relative energy among the computed polymorphs**: 0.00 kcal/mol of atoms
**Total magnetic moment**: 0.00 μB per formula unit
**VASP energy**: -3.791 eV per atom
**Density of states at the Fermi level**: 0.32 states/eV per atom

a = 8.7403 Å, b = 15.8117 Å, c = 5.1803 Å
α = 90.00°, β = 90.00°, γ = 90.00°
With the nearest neighbours (Å) after each atom.
Space group Pbam (No. 55)
Asymmetric unit:
K  0.1347  0.0875  0.0000 (multiplicity 4)  10 Ge 3.34-3.43, 1 K 3.63
Ba  0.1290  0.3516  0.0000 (multiplicity 4)  14 Ge 3.73-4.17, 1 K 4.18
Ge  0.0088  0.8001  0.5000 (multiplicity 4)  3 Ge 2.48-2.62
Ge  0.1148  0.9487  0.5000 (multiplicity 4)  3 Ge 2.53-2.58
Ge  0.1323  0.5316  0.5000 (multiplicity 4)  3 Ge 2.52-2.59
Ge  0.2099  0.6895  0.5000 (multiplicity 4)  3 Ge 2.48-2.62

Entry 3:
Material: K2BaGe
Method: DFT, PBE
State: optimized geometry

Properties
**Total magnetic moment**: 0.00 μB per formula unit
**VASP energy**: -2.067 eV per atom
**Density of states at the Fermi level**: 1.18 states/eV per atom

a = 5.1017 Å, b = 5.1017 Å, c = 26.7833 Å
α = 90.00°, β = 90.00°, γ = 90.00°
With the nearest neighbours (Å) after each atom.
Space group I-42d (No. 122)
Asymmetric unit:
K  0.2123  0.2500  0.1250 (multiplicity 8)  2 K 3.35, 2 Ge 3.74
Ba  0.0000  0.0000  0.5000 (multiplicity 4)  4 Ge 3.61, 4 K 3.87
Ge  0.0000  0.0000  0.0000 (multiplicity 4)  4 Ba 3.61, 4 K 3.74

Entry 4:
Material: KBaGe3
Method: DFT, PBE
State: optimized geometry

Properties
**Relative energy among the computed polymorphs**: 0.00 kcal/mol of atoms
**Total magnetic moment**: 0.00 μB per formula unit
**VASP energy**: -2.647 eV per atom
**Density of states at the Fermi level**: 0.89 states/eV per atom

a = 5.5672 Å, b = 5.5672 Å, c = 5.5672 Å
α = 90.00°, β = 90.00°, γ = 90.00°
With the nearest neighbours (Å) after each atom.
Space group Pm-3m (No. 221)
Asymmetric unit:
K  0.0000  0.0000  0.0000 (multiplicity 1)  6 Ge 2.78
Ba  0.5000  0.5000  0.5000 (multiplicity 1)  12 Ge 3.94
Ge  0.0000  0.0000  0.5000 (multiplicity 3)  2 K 2.78

Entry 5:
Material: K2BaGe2
Method: DFT, PBE
State: optimized geometry

Properties
**Relative energy among the computed polymorphs**: 1.34 kcal/mol of atoms
**Total magnetic moment**: 0.17 μB per formula unit
**VASP energy**: -2.796 eV per atom
**Density of states at the Fermi level**: 0.66 states/eV per atom

a = 8.3707 Å, b = 8.3707 Å, c = 5.6324 Å
α = 90.00°, β = 90.00°, γ = 90.00°
With the nearest neighbours (Å) after each atom.
Space group P4/mbm (No. 127)
Asymmetric unit:
K  0.1684  0.3316  0.0000 (multiplicity 4)  6 Ge 3.65-3.93, 1 K 3.99
Ba  0.0000  0.0000  0.5000 (multiplicity 2)  4 Ge 3.45
Ge  0.1001  0.6001  0.5000 (multiplicity 4)  1 Ge 2.37

Entry 6:
Material: KBa2Ge6
Method: DFT, PBE
State: optimized geometry

Properties
**Total magnetic moment**: 0.00 μB per formula unit
**VASP energy**: -3.946 eV per atom
**Density of states at the Fermi level**: 0.43 states/eV per atom

a = 7.7729 Å, b = 7.7729 Å, c = 4.9845 Å
α = 90.00°, β = 90.00°, γ = 120.00°
With the nearest neighbours (Å) after each atom.
Space group P6/mmm (No. 191)
Asymmetric unit:
K  0.0000  0.0000  0.0000 (multiplicity 1)  12 Ge 3.61
Ba  0.3333  0.6667  0.0000 (multiplicity 2)  12 Ge 3.59
Ge  0.0000  0.3354  0.5000 (multiplicity 6)  3 Ge 2.56-2.61

Entry 7:
Material: K2BaGe2
Method: DFT, PBE
State: optimized geometry

Properties
**Relative energy among the computed polymorphs**: 0.00 kcal/mol of atoms
**Total magnetic moment**: 0.00 μB per formula unit
**VASP energy**: -2.854 eV per atom
**Density of states at the Fermi level**: 0.47 states/eV per atom

a = 4.9771 Å, b = 4.9771 Å, c = 14.7642 Å
α = 90.00°, β = 90.00°, γ = 90.00°
With the nearest neighbours (Å) after each atom.
Space group I4/mmm (No. 139)
Asymmetric unit:
K  0.0000  0.5000  0.2500 (multiplicity 4)  4 K 3.52, 4 Ge 3.52
Ba  0.0000  0.0000  0.0000 (multiplicity 2)  8 Ge 3.72
Ge  0.0000  0.0000  0.4186 (multiplicity 4)  1 Ge 2.40

Entry 8:
Material: KBa3Ge
Method: DFT, PBE
State: optimized geometry

Properties
**Relative energy among the computed polymorphs**: 0.00 kcal/mol of atoms
**Total magnetic moment**: 0.00 μB per formula unit
**VASP energy**: -2.471 eV per atom
**Density of states at the Fermi level**: 1.35 states/eV per atom

a = 6.6637 Å, b = 6.6637 Å, c = 6.6637 Å
α = 90.00°, β = 90.00°, γ = 90.00°
With the nearest neighbours (Å) after each atom.
Space group Pm-3m (No. 221)
Asymmetric unit:
K  0.0000  0.0000  0.0000 (multiplicity 1)  12 Ba 4.71
Ba  0.0000  0.5000  0.5000 (multiplicity 3)  2 Ge 3.33
Ge  0.5000  0.5000  0.5000 (multiplicity 1)  6 Ba 3.33

Entry 9:
Material: KBa3Ge
Method: DFT, PBE
State: optimized geometry

Properties
**Relative energy among the computed polymorphs**: 23.56 kcal/mol of atoms
**Total magnetic moment**: 2.31 μB per formula unit
**VASP energy**: -1.449 eV per atom
**Density of states at the Fermi level**: 1.43 states/eV per atom

a = 6.4778 Å, b = 6.4778 Å, c = 6.4778 Å
α = 90.00°, β = 90.00°, γ = 90.00°
With the nearest neighbours (Å) after each atom.
Space group Pm-3m (No. 221)
Asymmetric unit:
K  0.0000  0.0000  0.0000 (multiplicity 1)  6 Ba 3.24
Ba  0.0000  0.0000  0.5000 (multiplicity 3)  2 K 3.24
Ge  0.5000  0.5000  0.5000 (multiplicity 1)  12 Ba 4.58

Entry 10:
Material: KBaGe2
Method: DFT, PBE
State: optimized geometry

Properties
**Relative energy among the computed polymorphs**: 5.47 kcal/mol of atoms
**Total magnetic moment**: 0.00 μB per formula unit
**VASP energy**: -2.833 eV per atom
**Density of states at the Fermi level**: 1.28 states/eV per atom

a = 9.1971 Å, b = 9.1971 Å, c = 6.2479 Å
α = 90.00°, β = 90.00°, γ = 90.00°
With the nearest neighbours (Å) after each atom.
Space group I-42d (No. 122)
Asymmetric unit:
K  0.0000  0.0000  0.0000 (multiplicity 4)  2 Ba 3.12, 4 Ge 3.33
Ba  0.0000  0.0000  0.5000 (multiplicity 4)  2 K 3.12, 4 Ge 3.36
Ge  0.2477  0.2500  0.1250 (multiplicity 8)  2 Ge 3.12, 2 K 3.33, 2 Ba 3.36

Entry 11:
Material: KBaGe2
Method: DFT, PBE
State: optimized geometry

Properties
**Relative energy among the computed polymorphs**: 0.00 kcal/mol of atoms
**Total magnetic moment**: 0.00 μB per formula unit
**VASP energy**: -3.070 eV per atom
**Density of states at the Fermi level**: 0.81 states/eV per atom

a = 7.9961 Å, b = 7.9961 Å, c = 7.9961 Å
α = 90.00°, β = 90.00°, γ = 90.00°
With the nearest neighbours (Å) after each atom.
Space group Fm-3m (No. 225)
Asymmetric unit:
K  0.0000  0.0000  0.0000 (multiplicity 4)  8 Ge 3.46
Ba  0.0000  0.0000  0.5000 (multiplicity 4)  8 Ge 3.46
Ge  0.2500  0.2500  0.2500 (multiplicity 8)  4 Ba 3.46, 4 K 3.46

Entry 12:
Material: KBaLiGe
Method: DFT, PBE
State: optimized geometry

Properties
**Total magnetic moment**: 0.00 μB per formula unit
**VASP energy**: -2.547 eV per atom

a = 7.8348 Å, b = 7.8348 Å, c = 7.8348 Å
α = 90.00°, β = 90.00°, γ = 90.00°
With the nearest neighbours (Å) after each atom.
Space group F-43m (No. 216)
Asymmetric unit:
K  0.0000  0.0000  0.0000 (multiplicity 4)  4 Li 3.39, 4 Ba 3.39
Ba  0.2500  0.2500  0.7500 (multiplicity 4)  4 Ge 3.39, 4 K 3.39
Li  0.2500  0.2500  0.2500 (multiplicity 4)  4 Ge 3.39, 4 K 3.39
Ge  0.0000  0.0000  0.5000 (multiplicity 4)  4 Ba 3.39, 4 Li 3.39

Q: Look up the VASP energy of the twelfth one.
A: -2.547 eV per atom

Q: What is the formula in the eighth record?
A: KBa3Ge

Q: What is the total magnetic moment in the first record?
A: 0.00 μB per formula unit

Please write out number 3 again, unchanged.
Material: K2BaGe
Method: DFT, PBE
State: optimized geometry

Properties
**Total magnetic moment**: 0.00 μB per formula unit
**VASP energy**: -2.067 eV per atom
**Density of states at the Fermi level**: 1.18 states/eV per atom

a = 5.1017 Å, b = 5.1017 Å, c = 26.7833 Å
α = 90.00°, β = 90.00°, γ = 90.00°
With the nearest neighbours (Å) after each atom.
Space group I-42d (No. 122)
Asymmetric unit:
K  0.2123  0.2500  0.1250 (multiplicity 8)  2 K 3.35, 2 Ge 3.74
Ba  0.0000  0.0000  0.5000 (multiplicity 4)  4 Ge 3.61, 4 K 3.87
Ge  0.0000  0.0000  0.0000 (multiplicity 4)  4 Ba 3.61, 4 K 3.74